Compound: Ca2Pb2Au
Source: Alexandria
Functional: PBE-GGA
Structure: relaxed

Results
Offset from the most stable computed form   0.100 eV/atom
Fermi-level density of states   4.44 states/eV/cell
Total moment   0.000 μB per atom
Calculated formation energy   -0.4444 eV per atom
Total energy   -33.84 eV/cell
Calculated volume   290.5 Å³ per cell

Cell and atoms, written as CIF:
```
data_Ca2Pb2Au
_cell_length_a 7.710
_cell_length_b 7.710
_cell_length_c 4.887
_cell_angle_alpha 90.00
_cell_angle_beta 90.00
_cell_angle_gamma 90.00
_symmetry_space_group_name_H-M 'P 4/m b m'
_symmetry_Int_Tables_number 127
_symmetry_space_group_name_Hall '-P 4 2ab'
loop_
_atom_site_label
_atom_site_type_symbol
_atom_site_fract_x
_atom_site_fract_y
_atom_site_fract_z
Ca1 Ca 0.164 0.336 0.000
Pb1 Pb 0.145 0.645 0.500
Au1 Au 0.000 0.000 0.500
```